DFT (GGA-PBEsol) results for a relaxed structure of LiNi2Rh.

a = 2.5426 Å, b = 4.1259 Å, c = 4.3556 Å
α = 90.00°, β = 90.00°, γ = 90.00°
With the nearest neighbours (Å) after each atom.
Space group Pmm2 (No. 25)
Symmetry-distinct sites (fractional):
1 Li 0.0000 0.0000 0.0000 (multiplicity 1)  8 Ni 2.49-2.55, 2 Li 2.54, 2 Rh 2.59
2 Ni 0.5000 0.0000 0.5073 (multiplicity 1)  4 Li 2.49-2.55, 4 Rh 2.51, 4 Ni 2.54-2.56
3 Ni 0.5000 0.5000 0.8569 (multiplicity 1)  4 Li 2.50, 4 Rh 2.51-2.54, 4 Ni 2.54-2.56
4 Rh 0.0000 0.5000 0.3611 (multiplicity 1)  8 Ni 2.51-2.54, 2 Rh 2.54, 2 Li 2.59

Computed properties:
E = -5.62 eV/atom
DFT formation energy = -18 meV/atom
N(E_F) = 4.9 states/eV per cell